No. 1
# Nb2CoCu

Nb2CoCu after structural relaxation (PBE-GGA, Alexandria).

The calculation puts the formation energy from the elements at 130 meV/atom.

Unit cell a=4.3862 b=4.3862 c=4.3862 alpha=60.00 beta=60.00 gamma=60.00
Closest atoms and distances in Å follow each position.
Fractional coordinates of all 4 atoms:
Nb: 0.2500 0.2500 0.2500  4 Cu 2.69, 4 Co 2.69
Nb: 0.7500 0.7500 0.7500  4 Co 2.69, 4 Cu 2.69
Co: 0.0000 0.0000 0.0000  8 Nb 2.69
Cu: 0.5000 0.5000 0.5000  8 Nb 2.69

No. 2
# BaNiW

BaNiW after structural relaxation (PBE-GGA, Alexandria).

The calculation puts the formation energy from the elements at 419 meV/atom.

Unit cell a=11.2136 b=4.2292 c=4.2302 alpha=120.02 beta=79.09 gamma=90.34
Closest atoms and distances in Å follow each position.
Fractional coordinates of all 6 atoms:
Ni: 0.1314 0.9055 0.8846  6 W 2.44-2.73, 3 Ni 2.70
Ni: 0.0264 0.2715 0.6204  1 W 2.37
Ba: 0.4603 0.8029 0.6683  3 W 3.41, 1 Ni 3.60
Ba: 0.8477 0.9970 0.0714  4 Ni 3.11-3.14
W: 0.1324 0.5720 0.2172  6 Ni 2.44-2.71, 3 W 2.73
W: 0.2433 0.2041 0.4775  1 Ni 2.37

No. 3
# La4Te2AsIr

La4Te2AsIr after structural relaxation (PBE-GGA, Alexandria).

The total energy is -6.319 eV/atom.

Unit cell a=4.3737 b=7.6444 c=7.8928 alpha=107.80 beta=90.00 gamma=90.00
Closest atoms and distances in Å follow each position.
Fractional coordinates of all 8 atoms:
La: 0.5000 0.2329 0.2162  2 Ir 3.00, 1 As 3.04, 3 Te 3.26-3.34
La: 0.5000 0.7671 0.7838  2 Ir 3.00, 1 As 3.04, 3 Te 3.26-3.34
La: 0.0000 0.2445 0.7861  1 Ir 2.88, 2 As 3.07
La: 0.0000 0.7555 0.2139  1 Ir 2.88, 2 As 3.07
Te: 0.5000 0.0000 0.5000  6 La 3.26-3.29
Te: 0.0000 0.5000 0.5000  6 La 3.34-3.41
As: 0.5000 0.5000 0.0000  6 La 3.04-3.07
Ir: 0.0000 0.0000 0.0000  6 La 2.88-3.00

| no. | theoretical density (g/cm3) |
| --- | --- |
| 1 | 8.6 |
| 2 | 7.4 |
| 3 | 7.1 |